Version A
A plane-wave DFT calculation with PBE was carried out for a relaxed structure of BaPmCd4.

Cell: 8.7433 8.7433 8.7433 Å, 90.00 90.00 90.00°
With the nearest neighbours (Å) after each atom.
Space group F-43m (No. 216)
Asymmetric unit:
Ba 0.0000 0.0000 0.0000  12 Cd 3.63, 4 Pm 3.79
Pm 0.2500 0.2500 0.7500  12 Cd 3.62, 4 Ba 3.79
Cd 0.1240 0.1240 0.3760  6 Cd 3.07-3.12

## Properties
Density = 7.3 Mg/m³

=====

Version B
A plane-wave DFT calculation with PBE was carried out for a relaxed structure of BaPmCd4.

Cell: 8.8067 5.0842 8.1182 Å, 90.00 90.08 90.00°
With the nearest neighbours (Å) after each atom.
Space group C2/m (No. 12)
Asymmetric unit:
Ba 0.0000 0.0000 0.0000  12 Cd 3.82-3.83, 2 Pm 4.06
Pm 0.0000 0.0000 0.5000  12 Cd 3.35
Cd 0.1664 0.5000 0.3020  4 Cd 2.93-3.22
Cd 0.1668 0.5000 0.6980  4 Cd 2.93-3.22

## Properties
Density = 6.7 Mg/m³

=====

Which of them is most stable, and which least? Most stable: version B; least stable: version A.